This record from Alexandria via LeMat-Bulk describes a relaxed structure of CuTcAg2. The functional is PBEsol.

Unit cell a=2.616 b=4.753 c=4.981 alpha=98.69 beta=90.00 gamma=105.98
Positions (direct):
1 Ag 0.756 0.512 0.251
2 Ag 0.998 0.996 0.999
3 Cu 0.502 0.005 0.516
4 Tc 0.243 0.487 0.734

Energy relative to the lowest polymorph listed for this composition, eV per formula unit: 0.00
Calculated volume, Å³ per cell: 58.8
Uncorrected energy, eV/atom: -5.11
Total magnetization, μB/f.u.: 0.6
Theoretical density, g/cm3: 10.65
Crystal system: monoclinic
Calculated formation energy, eV/f.u.: 1.795

This record from Alexandria via LeMat-Bulk describes a relaxed structure of Cu2TcAg. The functional is PBEsol.

Unit cell a=2.557 b=4.493 c=4.948 alpha=97.10 beta=90.00 gamma=106.53
Positions (direct):
1 Ag 0.500 0.000 0.000
2 Cu 0.747 0.495 0.733
3 Cu 0.253 0.505 0.267
4 Tc 0.000 0.000 0.500

Energy relative to the lowest polymorph listed for this composition, eV per formula unit: 0.25
Calculated volume, Å³ per cell: 54.0
Uncorrected energy, eV/atom: -5.43
Total magnetization, μB/f.u.: 0.0
Theoretical density, g/cm3: 10.23
Crystal system: monoclinic
Calculated formation energy, eV/f.u.: 1.534